DFT (PBE-GGA) results for a geometry-optimized Tb2TmBi2 structure.

Lattice parameters (Å, degrees): 4.4151 11.6683 12.1596 90.00 90.00 90.00
Space group Cmc2_1 (No. 36)
Unique sites:
Tb (0.0000, 0.0374, 0.0000)
Tb (0.0000, 0.3355, 0.1867)
Tm (0.0000, 0.3389, 0.8615)
Bi (0.0000, 0.0189, 0.2511)
Bi (0.0000, 0.2647, 0.5172)

The calculation puts the uncorrected energy at -24.3 eV/f.u. The density of states at the Fermi level is 16.84 states/eV per cell. As for the formation energy: -0.568 eV/atom.

DFT (PBE-GGA) results for a geometry-optimized GaAgRuSe2 structure.

Lattice parameters (Å, degrees): 5.0222 5.0222 5.1625 90.00 90.00 90.00
Space group P4/mmm (No. 123)
Unique sites:
Ga (0.0000, 0.0000, 0.0000)
Ag (0.5000, 0.5000, 0.5000)
Ru (0.5000, 0.5000, 0.0000)
Se (0.0000, 0.5000, 0.5000)

The calculation puts the uncorrected energy at -16.9 eV/f.u. The density of states at the Fermi level is 4.41 states/eV per cell. Its energy above the most stable polymorph in this dataset is 0.1887 eV/atom. As for the energy relative to the elements, uncorrected: 1046 meV per atom.

DFT (PBE-GGA) results for a geometry-optimized Ta3BiSb structure.

Lattice parameters (Å, degrees): 5.0763 5.0763 5.0763 90.00 90.00 90.00
Space group Pm-3m (No. 221)
Unique sites:
Ta (0.0000, 0.0000, 0.5000)
Bi (0.5000, 0.5000, 0.5000)
Sb (0.0000, 0.0000, 0.0000)

The calculation puts the uncorrected energy at -35.0 eV/f.u. The density of states at the Fermi level is 9.81 states/eV per cell. Its energy above the most stable polymorph in this dataset is 0.0000 eV/atom. As for the energy relative to the elements, uncorrected: 1713 meV per atom.

DFT (PBE-GGA) results for a geometry-optimized SrSc3 structure.

Lattice parameters (Å, degrees): 5.4834 5.4834 3.8721 90.00 90.00 90.00
Space group P4/mmm (No. 123)
Unique sites:
Sr (0.0000, 0.0000, 0.0000)
Sc (0.0000, 0.5000, 0.5000)
Sc (0.5000, 0.5000, 0.0000)

The calculation puts the uncorrected energy at -19.2 eV/f.u. The density of states at the Fermi level is 9.30 states/eV per cell. As for the formation energy: 0.370 eV/atom.

DFT (PBE-GGA) results for a geometry-optimized Na4P12I structure.

Lattice parameters (Å, degrees): 9.5080 9.5080 9.5080 90.00 90.00 90.00
Space group Im-3 (No. 204)
Unique sites:
Na (0.2500, 0.2500, 0.2500)
P (0.0000, 0.3856, 0.1120)
I (0.0000, 0.0000, 0.0000)

The calculation puts the uncorrected energy at -72.3 eV/f.u. The density of states at the Fermi level is 21.78 states/eV per cell. As for the energy relative to the elements, uncorrected: -32 meV per atom.

DFT (PBE-GGA) results for a geometry-optimized Sr2SnHgI structure.

Lattice parameters (Å, degrees): 6.4297 6.4297 6.3153 90.00 90.00 90.00
Space group P4/mmm (No. 123)
Unique sites:
Sr (0.0000, 0.5000, 0.0000)
Sn (0.0000, 0.0000, 0.0000)
Hg (0.5000, 0.5000, 0.5000)
I (0.0000, 0.0000, 0.5000)

The calculation puts the uncorrected energy at -10.3 eV/f.u. The density of states at the Fermi level is 4.42 states/eV per cell. As for the energy relative to the elements, uncorrected: -221 meV per atom.